DFT (PBE) results for an optimized crystal structure of LaYSc2Pt2.

Calculated values
* E: -6.781 eV per atom

Geometry as CIF:
```
data_LaYSc2Pt2
_chemical_formula_sum 'La1 Y1 Sc2 Pt2'
_space_group_name_H-M_alt 'P -3 m 1'
_space_group_IT_number 164
_space_group_name_Hall '-P 3 2"'
_cell_length_a 4.7592
_cell_length_b 4.7592
_cell_length_c 7.1496
_cell_angle_alpha 90.00
_cell_angle_beta 90.00
_cell_angle_gamma 120.00
loop_
_atom_site_label
_atom_site_type_symbol
_atom_site_fract_x
_atom_site_fract_y
_atom_site_fract_z
La1 La 0.0000 0.0000 0.0000
Y1 Y 0.0000 0.0000 0.5000
Sc1 Sc 0.3333 0.6667 0.7139
Pt1 Pt 0.3333 0.6667 0.2720
```